Record 1
# Sr2Zn4In3Ga

A relaxed structure of Sr2Zn4In3Ga (PBE-GGA, Alexandria via LeMat-Bulk).

Cell and atoms, written as POSCAR:
```
Sr2Zn4In3Ga
1.0
-1.7598 3.7471 -1.9606
-4.0559 -2.0967 -0.3668
-2.9832 3.9739 10.2726
Sr In Ga Zn
2 3 1 4
direct
0.0000 0.5000 0.7482 Sr
0.5000 0.0000 0.2518 Sr
0.0000 0.5000 0.1332 In
0.0000 0.0000 0.5000 In
0.5000 0.0000 0.8668 In
0.5000 0.5000 0.5000 Ga
0.5000 0.0000 0.6314 Zn
0.5000 0.5000 0.0000 Zn
0.0000 0.5000 0.3686 Zn
0.0000 0.0000 0.0000 Zn
```

Values from the calculation:
DOS(E_F) in states/eV per cell: 4.309
Total moment in μB/atom: 0.00
Energy of formation in eV per formula unit: -2.7
Volume in Å³ per atom: 23.9

Record 2
# RbS2ICl

A relaxed structure of RbS2ICl (PBE-GGA, Alexandria via LeMat-Bulk).

Cell and atoms, written as POSCAR:
```
RbS2ICl
1.0
-4.0134 -0.6416 -5.1900
-4.8990 -1.8278 4.0143
-1.6885 5.8147 0.5869
I Cl S Rb
1 1 2 1
direct
0.5000 0.5000 0.5000 I
0.0000 0.0000 0.5000 Cl
0.5000 0.0000 0.0000 S
0.0000 0.5000 0.0000 S
0.0000 0.0000 0.0000 Rb
```

Values from the calculation:
Excess energy over the best structure of this formula in the dataset in meV/atom: 866
DOS(E_F) in states/eV per cell: 9.866
Uncorrected formation energy in meV per atom: 682
Total moment in μB/atom: 1.00
Volume in Å³ per atom: 52.9

Record 3
# Sc2TcAs

A relaxed structure of Sc2TcAs (PBE-GGA, Alexandria via LeMat-Bulk).

Cell and atoms, written as POSCAR:
```
Sc2TcAs
1.0
-4.8614 -3.0688 1.3747
-1.3447 -5.3434 -2.1402
3.8933 3.3966 2.8715
Sc Tc As
2 1 1
direct
0.2790 0.7790 0.5000 Sc
0.0056 0.0056 0.0000 Sc
0.5151 0.5151 0.0000 Tc
0.7003 0.2003 0.5000 As
```

Values from the calculation:
DOS(E_F) in states/eV per cell: 3.067
Total moment in μB/atom: 0.00
Energy of formation in eV per formula unit: -2.0
Volume in Å³ per atom: 18.8

Record 4
# Li2SbI2

A relaxed structure of Li2SbI2 (PBE-GGA, Alexandria via LeMat-Bulk).

Cell and atoms, written as POSCAR:
```
Li2SbI2
1.0
-5.4558 1.2517 1.3612
0.0850 -4.0661 4.0798
-0.6005 2.9762 7.0458
I Sb Li
2 1 2
direct
0.7500 0.2500 0.5000 I
0.2500 0.7500 0.5000 I
0.0000 0.0000 0.0000 Sb
0.7546 0.7546 0.4908 Li
0.2454 0.2454 0.5092 Li
```

Values from the calculation:
Excess energy over the best structure of this formula in the dataset in meV/atom: 41
DOS(E_F) in states/eV per cell: 0.000
Uncorrected formation energy in meV per atom: -356
Total moment in μB/atom: 0.60
Volume in Å³ per atom: 43.2

Record 5
# Y2AsIr

A relaxed structure of Y2AsIr (PBE-GGA, Alexandria via LeMat-Bulk).

Cell and atoms, written as POSCAR:
```
Y2AsIr
1.0
-2.9787 -2.2945 -1.5920
0.2837 -1.3208 -3.8532
2.2180 -6.7261 0.3035
Y As Ir
2 1 1
direct
0.5020 0.5020 0.4936 Y
0.9980 0.9980 0.0064 Y
0.7500 0.7500 0.7500 As
0.2500 0.2500 0.2500 Ir
```

Values from the calculation:
DOS(E_F) in states/eV per cell: 0.336
Total moment in μB/atom: 0.00
Energy of formation in eV per formula unit: -3.7
Volume in Å³ per atom: 24.1

Record 6
# Na3Mg

A relaxed structure of Na3Mg (PBE-GGA, Alexandria via LeMat-Bulk).

Cell and atoms, written as POSCAR:
```
Na3Mg
1.0
12.2942 -0.4683 -0.2723
11.9374 2.9775 -0.2723
11.9374 1.2361 2.7224
Na Mg
3 1
direct
0.0030 0.0030 0.0030 Na
0.2500 0.2500 0.2500 Na
0.4970 0.4970 0.4970 Na
0.7500 0.7500 0.7500 Mg
```

Values from the calculation:
DOS(E_F) in states/eV per cell: 2.473
Total moment in μB/atom: 0.00
Energy of formation in eV per formula unit: 0.3
Volume in Å³ per atom: 31.5